1.
# Sr2TlPd

An optimized crystal structure of Sr2TlPd (PBE, Alexandria).

Results
Final energy = -3.19 eV/atom
ΔH_f (0 K) = -0.454 eV per atom
ΔE to the lowest computed polymorph = 12 meV/atom
SG = No. 123

a b c (Å): 3.811 3.811 8.311
angles (deg): 90.00 90.00 90.00
Element x y z (fractional)
Sr: 0.000 0.000 0.220
Sr: 0.000 0.000 0.780
Tl: 0.500 0.500 0.500
Pd: 0.500 0.500 0.000

2.
# Sr2Zn4Cd3Hg

An optimized crystal structure of Sr2Zn4Cd3Hg (PBE, Alexandria).

Results
Final energy = -1.37 eV/atom
ΔH_f (0 K) = -0.215 eV per atom
SG = No. 115

a b c (Å): 4.579 4.579 11.539
angles (deg): 90.00 90.00 90.00
Element x y z (fractional)
Sr: 0.000 0.500 0.752
Sr: 0.500 0.000 0.248
Zn: 0.500 0.500 0.000
Zn: 0.000 0.500 0.362
Zn: 0.000 0.000 0.000
Zn: 0.500 0.000 0.638
Cd: 0.000 0.500 0.131
Cd: 0.000 0.000 0.500
Cd: 0.500 0.000 0.869
Hg: 0.500 0.500 0.500

3.
# CaErIrPd

An optimized crystal structure of CaErIrPd (PBE, Alexandria).

Results
Final energy = -5.87 eV/atom
ΔH_f (0 K) = -0.716 eV per atom
ΔE to the lowest computed polymorph = 0 meV/atom
SG = No. 99

a b c (Å): 3.394 3.394 7.195
angles (deg): 90.00 90.00 90.00
Element x y z (fractional)
Ca: 0.000 0.000 0.864
Er: 0.000 0.000 0.348
Ir: 0.500 0.500 0.128
Pd: 0.500 0.500 0.588

4.
# La2TiSb3Pd4

An optimized crystal structure of La2TiSb3Pd4 (PBE, Alexandria).

Results
Final energy = -5.94 eV/atom
SG = No. 115

a b c (Å): 4.490 4.490 11.074
angles (deg): 90.00 90.00 90.00
Element x y z (fractional)
Pd: 0.000 0.500 0.373
Pd: 0.500 0.500 0.000
Pd: 0.000 0.000 0.000
Pd: 0.500 0.000 0.627
Sb: 0.500 0.000 0.865
Sb: 0.000 0.000 0.500
Sb: 0.000 0.500 0.135
La: 0.500 0.000 0.240
La: 0.000 0.500 0.760
Ti: 0.500 0.500 0.500

5.
# Pr4Ir2Pt

An optimized crystal structure of Pr4Ir2Pt (PBE, Alexandria).

Results
Final energy = -6.84 eV/atom
ΔH_f (0 K) = -0.718 eV per atom
SG = No. 122

a b c (Å): 7.795 7.795 7.794
angles (deg): 109.28 109.29 109.81
Element x y z (fractional)
Pr: 0.870 0.244 0.251
Pr: 0.756 0.007 0.625
Pr: 0.257 0.506 0.126
Pr: 0.494 0.620 0.751
Pr: 0.868 0.743 0.249
Pr: 0.993 0.619 0.749
Pr: 0.381 0.130 0.375
Pr: 0.380 0.131 0.875
Ir: 0.497 0.875 0.122
Ir: 0.625 0.503 0.378
Ir: 0.753 0.375 0.878
Ir: 0.125 0.247 0.622
Pt: 0.000 0.000 0.000
Pt: 0.250 0.750 0.500

6.
# ThTiSi2Os

An optimized crystal structure of ThTiSi2Os (PBE, Alexandria).

Results
Final energy = -8.25 eV/atom
SG = No. 119

a b c (Å): 4.091 4.091 6.117
angles (deg): 109.54 109.54 90.00
Element x y z (fractional)
Si: 0.385 0.385 0.771
Si: 0.615 0.615 0.229
Os: 0.250 0.750 0.500
Ti: 0.750 0.250 0.500
Th: 0.000 0.000 0.000

7.
# NaAlO

An optimized crystal structure of NaAlO (PBE, Alexandria).

Results
Final energy = -4.78 eV/atom
ΔE to the lowest computed polymorph = 34 meV/atom
SG = No. 74

a b c (Å): 6.259 5.662 5.656
angles (deg): 90.00 90.00 90.00
Element x y z (fractional)
Na: 0.750 0.250 0.250
Na: 0.250 0.750 0.750
Na: 0.250 0.250 0.250
Na: 0.750 0.750 0.750
Al: 0.500 0.250 0.697
Al: 0.000 0.250 0.803
Al: 0.000 0.750 0.197
Al: 0.500 0.750 0.303
O: 0.500 0.000 0.500
O: 0.000 0.000 0.000
O: 0.000 0.500 0.000
O: 0.500 0.500 0.500

8.
# CaLa3Se

An optimized crystal structure of CaLa3Se (PBE, Alexandria).

Results
Final energy = -4.67 eV/atom
ΔE to the lowest computed polymorph = 0 meV/atom
SG = No. 221

a b c (Å): 5.815 5.815 5.815
angles (deg): 90.00 90.00 90.00
Element x y z (fractional)
Se: 0.000 0.000 0.000
La: 0.000 0.000 0.500
La: 0.500 0.000 0.000
La: 0.000 0.500 0.000
Ca: 0.500 0.500 0.500

9.
# MgHgBr

An optimized crystal structure of MgHgBr (PBE, Alexandria).

Results
Final energy = -1.77 eV/atom
ΔE to the lowest computed polymorph = 60 meV/atom
SG = No. 156

a b c (Å): 3.918 3.918 6.418
angles (deg): 90.00 90.00 120.00
Element x y z (fractional)
Mg: 0.333 0.667 0.677
Br: 0.000 0.000 0.918
Hg: 0.667 0.333 0.405

10.
# Sr2TiAl

An optimized crystal structure of Sr2TiAl (PBE, Alexandria).

Results
Final energy = -3.09 eV/atom
ΔH_f (0 K) = 0.662 eV per atom
SG = No. 122

a b c (Å): 8.955 8.955 7.098
angles (deg): 50.89 50.89 90.00
Element x y z (fractional)
Sr: 0.141 0.625 0.250
Sr: 0.875 0.859 0.750
Sr: 0.609 0.125 0.250
Sr: 0.375 0.391 0.750
Al: 0.250 0.750 0.500
Al: 0.500 0.500 0.000
Ti: 0.750 0.250 0.500
Ti: 0.000 0.000 0.000

11.
# Nd3Dy3Er8

An optimized crystal structure of Nd3Dy3Er8 (PBE, Alexandria).

Results
Final energy = -4.51 eV/atom
ΔH_f (0 K) = 0.109 eV per atom
SG = No. 71

a b c (Å): 5.624 9.642 9.642
angles (deg): 102.01 73.03 73.03
Element x y z (fractional)
Er: 0.661 0.119 0.559
Er: 0.339 0.881 0.441
Er: 0.339 0.441 0.881
Er: 0.661 0.559 0.119
Er: 0.158 0.239 0.445
Er: 0.842 0.555 0.761
Er: 0.842 0.761 0.555
Er: 0.158 0.445 0.239
Dy: 0.203 0.796 0.796
Dy: 0.500 0.500 0.500
Dy: 0.797 0.204 0.204
Nd: 0.000 0.184 0.816
Nd: 0.000 0.816 0.184
Nd: 0.500 0.000 0.000

12.
# Cs2NaGeAs2

An optimized crystal structure of Cs2NaGeAs2 (PBE, Alexandria).

Results
Final energy = -3.19 eV/atom
ΔH_f (0 K) = -0.364 eV per atom
SG = No. 72

a b c (Å): 7.091 6.854 9.668
angles (deg): 110.76 111.51 90.00
Element x y z (fractional)
Cs: 0.066 0.328 0.657
Cs: 0.934 0.672 0.343
Cs: 0.410 0.172 0.343
Cs: 0.590 0.828 0.657
Na: 0.000 0.750 0.000
Na: 0.000 0.250 0.000
As: 0.205 0.915 0.829
As: 0.624 0.415 0.829
As: 0.795 0.085 0.171
As: 0.376 0.585 0.171
Ge: 0.500 0.750 0.000
Ge: 0.500 0.250 0.000

13.
# Sr3Ca6Mg

An optimized crystal structure of Sr3Ca6Mg (PBE, Alexandria).

Results
Final energy = -1.85 eV/atom
ΔH_f (0 K) = 0.014 eV per atom
ΔE to the lowest computed polymorph = 0 meV/atom
SG = No. 11

a b c (Å): 5.865 11.756 12.661
angles (deg): 95.71 90.00 90.00
Element x y z (fractional)
Mg: 0.750 0.051 0.381
Mg: 0.250 0.949 0.619
Ca: 0.250 0.041 0.883
Ca: 0.750 0.797 0.520
Ca: 0.250 0.203 0.480
Ca: 0.250 0.680 0.707
Ca: 0.250 0.141 0.185
Ca: 0.750 0.859 0.815
Ca: 0.250 0.440 0.097
Ca: 0.250 0.884 0.339
Ca: 0.750 0.116 0.661
Ca: 0.750 0.959 0.117
Ca: 0.750 0.320 0.293
Ca: 0.750 0.560 0.903
Sr: 0.250 0.348 0.781
Sr: 0.250 0.759 0.020
Sr: 0.250 0.547 0.406
Sr: 0.750 0.652 0.219
Sr: 0.750 0.453 0.594
Sr: 0.750 0.241 0.980

14.
# Cs7Rb4O

An optimized crystal structure of Cs7Rb4O (PBE, Alexandria).

Results
Final energy = -1.39 eV/atom
SG = No. 12

a b c (Å): 5.761 15.160 14.685
angles (deg): 76.63 78.69 79.05
Element x y z (fractional)
Rb: 0.407 0.771 0.415
Rb: 0.293 0.366 0.048
Rb: 0.593 0.229 0.585
Rb: 0.707 0.634 0.952
O: 0.000 0.000 0.000
Cs: 0.275 0.113 0.336
Cs: 0.980 0.158 0.882
Cs: 0.020 0.842 0.118
Cs: 0.391 0.522 0.696
Cs: 0.725 0.887 0.664
Cs: 0.500 0.000 0.000
Cs: 0.609 0.478 0.304

15.
# La2ThCo2

An optimized crystal structure of La2ThCo2 (PBE, Alexandria).

Results
Final energy = -6.49 eV/atom
ΔH_f (0 K) = -0.197 eV per atom
SG = No. 15

a b c (Å): 6.453 6.309 7.196
angles (deg): 99.67 90.00 120.76
Element x y z (fractional)
Co: 0.990 0.306 0.009
Co: 0.685 0.694 0.491
Co: 0.010 0.694 0.991
Co: 0.315 0.306 0.509
Th: 0.067 0.000 0.750
Th: 0.933 0.000 0.250
La: 0.246 0.691 0.350
La: 0.445 0.691 0.850
La: 0.555 0.309 0.150
La: 0.754 0.309 0.650

16.
# SmCoTcGe2

An optimized crystal structure of SmCoTcGe2 (PBE, Alexandria).

Results
Final energy = -6.78 eV/atom
ΔH_f (0 K) = -0.499 eV per atom
SG = No. 119

a b c (Å): 4.184 4.184 5.866
angles (deg): 110.90 110.90 90.00
Element x y z (fractional)
Co: 0.250 0.750 0.500
Sm: 0.000 0.000 0.000
Tc: 0.750 0.250 0.500
Ge: 0.369 0.369 0.739
Ge: 0.631 0.631 0.261

17.
# YMn3Tc

An optimized crystal structure of YMn3Tc (PBE, Alexandria).

Results
Final energy = -8.18 eV/atom
ΔH_f (0 K) = 0.691 eV per atom
ΔE to the lowest computed polymorph = 0 meV/atom
SG = No. 221

a b c (Å): 4.636 4.636 4.636
angles (deg): 90.00 90.00 90.00
Element x y z (fractional)
Tc: 0.000 0.000 0.000
Mn: 0.000 0.000 0.500
Mn: 0.000 0.500 0.000
Mn: 0.500 0.000 0.000
Y: 0.500 0.500 0.500